Material: Na2HgP2O7
Method: DFT, PBE
State: relaxed

Properties
Formation energy (no corrections), eV/atom: -1.8440

Lattice parameters (Å, degrees): 7.6604 7.6604 7.6604 42.48 42.48 42.48
Closest atoms and distances in Å follow each position.
Fractional coordinates of all 12 atoms:
Na1 0.2463 0.2463 0.2463  3 O 2.26
Na2 0.7537 0.7537 0.7537  3 O 2.26
Hg1 0.0000 0.0000 0.0000  6 O 2.41
P1 0.4230 0.4230 0.4230  4 O 1.53-1.61
P2 0.5770 0.5770 0.5770  4 O 1.53-1.61
O1 0.1609 0.3609 0.6899  1 P 1.53
O2 0.3101 0.6391 0.8391  1 P 1.53
O3 0.3609 0.6899 0.1609  1 P 1.53
O4 0.5000 0.5000 0.5000  2 P 1.61
O5 0.6391 0.8391 0.3101  1 P 1.53
O6 0.6899 0.1609 0.3609  1 P 1.53
O7 0.8391 0.3101 0.6391  1 P 1.53